DFT (PBE-GGA) results for V3GaN after structural relaxation.

Its density of states at the Fermi level is 3.30 states/eV/f.u. For the total energy, the calculation gives -161.13 eV/cell. Its total magnetization is 0.0 μB/cell. As for the formation energy (no corrections): -0.3150 eV per atom.

The space group is C2/m (No. 12) and the conventional cell measures 15.206, 2.774 and 6.690 Å, with angles of 90.00, 96.85 and 90.00 degrees. Symmetry generates all atoms from V at (0.047, 0.000, 0.182), V at (0.169, 0.000, 0.510), V at (0.213, 0.500, 0.183), Ga at (0.124, 0.000, 0.871) and N at (0.106, 0.500, 0.348).



DFT (PBE-GGA) results for LiInW3 after structural relaxation.

The formation energy comes out at 2.9047 eV/atom. Its density of states at the Fermi level is 8.83 states/eV/f.u. The calculation puts the energy relative to the lowest polymorph listed for this composition at 140.6 kJ per mole of atoms. For the total energy, the calculation gives -28.99 eV/cell. Its total magnetization is 0.0 μB/cell.

The space group is Pm-3m (No. 221) and the conventional cell measures 4.937, 4.937 and 4.937 Å, with angles of 90.00, 90.00 and 90.00 degrees. Symmetry generates all atoms from Li at (0.000, 0.000, 0.000), In at (0.500, 0.500, 0.500) and W at (0.000, 0.500, 0.500).



DFT (PBE-GGA) results for Zr2OsPb after structural relaxation.

The formation energy comes out at 0.2142 eV/atom. Its density of states at the Fermi level is 2.98 states/eV/f.u. For the total energy, the calculation gives -124.71 eV/cell. Its total magnetization is 0.0 μB/cell.

The space group is I-42d (No. 122) and the conventional cell measures 7.731, 7.731 and 6.178 Å, with angles of 90.00, 90.00 and 90.00 degrees. Symmetry generates all atoms from Zr at (0.199, 0.250, 0.125), Os at (0.000, 0.000, 0.000) and Pb at (0.000, 0.000, 0.500).



DFT (PBE-GGA) results for ZrIn2Br2Cl4 after structural relaxation.

Its density of states at the Fermi level is 0.00 states/eV/f.u. For the total energy, the calculation gives -72.74 eV/cell. Its total magnetization is 0.0 μB/cell. As for the formation energy (no corrections): -1.2902 eV per atom.

The space group is C2/m (No. 12) and the conventional cell measures 12.735, 7.180 and 7.584 Å, with angles of 90.00, 111.77 and 90.00 degrees. Symmetry generates all atoms from Zr at (0.000, 0.000, 0.000), In at (0.231, 0.500, 0.214), Br at (0.191, 0.000, 0.304) and Cl at (0.081, 0.243, 0.853).